First-principles (PBE) data for a relaxed structure of Al3Rh5S12, as listed in Alexandria.

Values from the calculation:
SG = No. 230
Theoretical density = 4.1 g cm⁻³
DFT total energy = -419.4 eV per cell
Magnetic moment = 0.000 Bohr magnetons per cell
ΔE_f (raw) = -35.4 kJ/mol of atoms

```
data_Al3Rh5S12
_chemical_formula_sum 'Al12 Rh20 S48'
_cell_length_a 12.681
_cell_length_b 12.681
_cell_length_c 12.681
_cell_angle_alpha 109.47
_cell_angle_beta 109.47
_cell_angle_gamma 109.47
_symmetry_space_group_name_H-M 'P 1'
_symmetry_Int_Tables_number 1
loop_
_symmetry_equiv_pos_as_xyz
'x,y,z'
loop_
_atom_site_label
_atom_site_fract_x
_atom_site_fract_y
_atom_site_fract_z
_atom_site_occupancy
Al1 0.750 0.375 0.125 1
Al2 0.875 0.750 0.125 1
Al3 0.375 0.750 0.625 1
Al4 0.250 0.125 0.375 1
Al5 0.875 0.125 0.250 1
Al6 0.375 0.625 0.250 1
Al7 0.625 0.375 0.750 1
Al8 0.125 0.875 0.750 1
Al9 0.750 0.875 0.625 1
Al10 0.625 0.250 0.375 1
Al11 0.125 0.250 0.875 1
Al12 0.250 0.625 0.875 1
Rh1 0.125 0.375 0.250 1
Rh2 0.000 0.500 0.000 1
Rh3 0.000 0.000 0.000 1
Rh4 0.375 0.250 0.125 1
Rh5 0.500 0.000 0.500 1
Rh6 0.500 0.500 0.000 1
Rh7 0.125 0.750 0.375 1
Rh8 0.750 0.125 0.875 1
Rh9 0.750 0.625 0.375 1
Rh10 0.375 0.125 0.750 1
Rh11 0.625 0.875 0.250 1
Rh12 0.500 0.500 0.500 1
Rh13 0.500 0.000 0.000 1
Rh14 0.000 0.000 0.500 1
Rh15 0.250 0.375 0.625 1
Rh16 0.250 0.875 0.125 1
Rh17 0.000 0.500 0.500 1
Rh18 0.875 0.250 0.625 1
Rh19 0.625 0.750 0.875 1
Rh20 0.875 0.625 0.750 1
S1 0.690 0.153 0.026 1
S2 0.336 0.526 0.373 1
S3 0.974 0.347 0.310 1
S4 0.526 0.190 0.153 1
S5 0.537 0.690 0.664 1
S6 0.974 0.627 0.164 1
S7 0.336 0.810 0.463 1
S8 0.127 0.963 0.153 1
S9 0.627 0.974 0.664 1
S10 0.690 0.537 0.164 1
S11 0.810 0.474 0.347 1
S12 0.836 0.873 0.026 1
S13 0.153 0.690 0.526 1
S14 0.347 0.373 0.037 1
S15 0.037 0.873 0.347 1
S16 0.463 0.153 0.627 1
S17 0.037 0.164 0.190 1
S18 0.474 0.664 0.127 1
S19 0.836 0.963 0.310 1
S20 0.153 0.463 0.127 1
S21 0.347 0.974 0.810 1
S22 0.627 0.653 0.463 1
S23 0.873 0.836 0.526 1
S24 0.810 0.336 0.963 1
S25 0.373 0.347 0.537 1
S26 0.127 0.164 0.474 1
S27 0.190 0.664 0.037 1
S28 0.164 0.037 0.690 1
S29 0.653 0.026 0.190 1
S30 0.847 0.537 0.873 1
S31 0.526 0.336 0.873 1
S32 0.537 0.847 0.373 1
S33 0.963 0.836 0.810 1
S34 0.963 0.127 0.653 1
S35 0.847 0.310 0.474 1
S36 0.164 0.127 0.974 1
S37 0.653 0.627 0.963 1
S38 0.373 0.026 0.336 1
S39 0.310 0.463 0.836 1
S40 0.190 0.526 0.653 1
S41 0.873 0.037 0.847 1
S42 0.664 0.190 0.537 1
S43 0.474 0.810 0.847 1
S44 0.026 0.373 0.836 1
S45 0.463 0.310 0.336 1
S46 0.026 0.653 0.690 1
S47 0.664 0.474 0.627 1
S48 0.310 0.847 0.974 1
```


First-principles (PBE) data for a relaxed structure of AlRh2S, as listed in Alexandria.

Values from the calculation:
SG = No. 122
Theoretical density = 7.0 g cm⁻³
DFT total energy = -47.6 eV per cell
Magnetic moment = 0.000 Bohr magnetons per cell
ΔE_f (raw) = -30.0 kJ/mol of atoms
Energy above the lowest structure with this stoichiometry = 0 meV per atom

```
data_AlRh2S
_chemical_formula_sum 'Al2 Rh4 S2'
_cell_length_a 4.041
_cell_length_b 4.041
_cell_length_c 8.225
_cell_angle_alpha 75.78
_cell_angle_beta 75.78
_cell_angle_gamma 90.00
_symmetry_space_group_name_H-M 'P 1'
_symmetry_Int_Tables_number 1
loop_
_symmetry_equiv_pos_as_xyz
'x,y,z'
loop_
_atom_site_label
_atom_site_fract_x
_atom_site_fract_y
_atom_site_fract_z
_atom_site_occupancy
S1 0.000 0.000 0.000 1
S2 0.750 0.250 0.500 1
Rh1 0.654 0.125 0.250 1
Rh2 0.096 0.625 0.250 1
Rh3 0.375 0.346 0.750 1
Rh4 0.875 0.904 0.750 1
Al1 0.500 0.500 0.000 1
Al2 0.250 0.750 0.500 1
```


First-principles (PBE) data for a relaxed structure of AlTeRh2S, as listed in Alexandria.

Values from the calculation:
SG = No. 123
Theoretical density = 6.1 g cm⁻³
DFT total energy = -23.7 eV per cell
Magnetic moment = 0.000 Bohr magnetons per cell
ΔE_f (raw) = 37.9 kJ/mol of atoms

```
data_AlTeRh2S
_chemical_formula_sum 'Al1 Te1 Rh2 S1'
_cell_length_a 4.317
_cell_length_b 5.699
_cell_length_c 4.317
_cell_angle_alpha 90.00
_cell_angle_beta 90.00
_cell_angle_gamma 90.00
_symmetry_space_group_name_H-M 'P 1'
_symmetry_Int_Tables_number 1
loop_
_symmetry_equiv_pos_as_xyz
'x,y,z'
loop_
_atom_site_label
_atom_site_fract_x
_atom_site_fract_y
_atom_site_fract_z
_atom_site_occupancy
S1 0.000 0.000 0.000 1
Te1 0.000 0.500 0.000 1
Rh1 0.000 0.000 0.500 1
Rh2 0.500 0.000 0.000 1
Al1 0.500 0.500 0.500 1
```


First-principles (PBE) data for a relaxed structure of Al3SbRh, as listed in Alexandria.

Values from the calculation:
SG = No. 221
Theoretical density = 4.7 g cm⁻³
DFT total energy = -23.1 eV per cell
Magnetic moment = 0.000 Bohr magnetons per cell
ΔE_f (raw) = -8.5 kJ/mol of atoms
Energy above the lowest structure with this stoichiometry = 0 meV per atom

```
data_Al3SbRh
_chemical_formula_sum 'Al3 Sb1 Rh1'
_cell_length_a 4.748
_cell_length_b 4.748
_cell_length_c 4.748
_cell_angle_alpha 90.00
_cell_angle_beta 90.00
_cell_angle_gamma 90.00
_symmetry_space_group_name_H-M 'P 1'
_symmetry_Int_Tables_number 1
loop_
_symmetry_equiv_pos_as_xyz
'x,y,z'
loop_
_atom_site_label
_atom_site_fract_x
_atom_site_fract_y
_atom_site_fract_z
_atom_site_occupancy
Sb1 0.500 0.500 0.500 1
Rh1 0.000 0.000 0.000 1
Al1 0.000 0.500 0.000 1
Al2 0.000 0.000 0.500 1
Al3 0.500 0.000 0.000 1
```


First-principles (PBE) data for a relaxed structure of AlSb4Rh, as listed in Alexandria.

Values from the calculation:
SG = No. 216
Theoretical density = 6.5 g cm⁻³
DFT total energy = -23.2 eV per cell
Magnetic moment = 0.004 Bohr magnetons per cell
ΔE_f (raw) = 70.0 kJ/mol of atoms

```
data_AlSb4Rh
_chemical_formula_sum 'Al1 Sb4 Rh1'
_cell_length_a 6.075
_cell_length_b 6.075
_cell_length_c 6.075
_cell_angle_alpha 60.00
_cell_angle_beta 60.00
_cell_angle_gamma 60.00
_symmetry_space_group_name_H-M 'P 1'
_symmetry_Int_Tables_number 1
loop_
_symmetry_equiv_pos_as_xyz
'x,y,z'
loop_
_atom_site_label
_atom_site_fract_x
_atom_site_fract_y
_atom_site_fract_z
_atom_site_occupancy
Al1 0.750 0.750 0.750 1
Sb1 0.872 0.376 0.376 1
Sb2 0.376 0.376 0.872 1
Sb3 0.376 0.872 0.376 1
Sb4 0.376 0.376 0.376 1
Rh1 0.000 0.000 0.000 1
```


First-principles (PBE) data for a relaxed structure of Al2Sb2Rh, as listed in Alexandria.

Values from the calculation:
SG = No. 139
Theoretical density = 5.8 g cm⁻³
DFT total energy = -20.0 eV per cell
Magnetic moment = 0.000 Bohr magnetons per cell
ΔE_f (raw) = 59.0 kJ/mol of atoms
Energy above the lowest structure with this stoichiometry = 583 meV per atom

```
data_Al2Sb2Rh
_chemical_formula_sum 'Al2 Sb2 Rh1'
_cell_length_a 3.986
_cell_length_b 3.986
_cell_length_c 7.777
_cell_angle_alpha 75.15
_cell_angle_beta 75.15
_cell_angle_gamma 90.00
_symmetry_space_group_name_H-M 'P 1'
_symmetry_Int_Tables_number 1
loop_
_symmetry_equiv_pos_as_xyz
'x,y,z'
loop_
_atom_site_label
_atom_site_fract_x
_atom_site_fract_y
_atom_site_fract_z
_atom_site_occupancy
Sb1 0.750 0.250 0.500 1
Sb2 0.250 0.750 0.500 1
Rh1 0.000 0.000 0.000 1
Al1 0.413 0.413 0.173 1
Al2 0.587 0.587 0.827 1
```


First-principles (PBE) data for a relaxed structure of AlSbRh3, as listed in Alexandria.

Values from the calculation:
SG = No. 221
Theoretical density = 7.0 g cm⁻³
DFT total energy = -25.9 eV per cell
Magnetic moment = 0.000 Bohr magnetons per cell
ΔE_f (raw) = 76.8 kJ/mol of atoms
Energy above the lowest structure with this stoichiometry = 500 meV per atom

```
data_AlSbRh3
_chemical_formula_sum 'Al1 Sb1 Rh3'
_cell_length_a 4.778
_cell_length_b 4.778
_cell_length_c 4.778
_cell_angle_alpha 90.00
_cell_angle_beta 90.00
_cell_angle_gamma 90.00
_symmetry_space_group_name_H-M 'P 1'
_symmetry_Int_Tables_number 1
loop_
_symmetry_equiv_pos_as_xyz
'x,y,z'
loop_
_atom_site_label
_atom_site_fract_x
_atom_site_fract_y
_atom_site_fract_z
_atom_site_occupancy
Sb1 0.000 0.000 0.000 1
Rh1 0.000 0.500 0.000 1
Rh2 0.000 0.000 0.500 1
Rh3 0.500 0.000 0.000 1
Al1 0.500 0.500 0.500 1
```


First-principles (PBE) data for a relaxed structure of Al2Sb2Rh, as listed in Alexandria.

Values from the calculation:
SG = No. 127
Theoretical density = 6.6 g cm⁻³
DFT total energy = -45.9 eV per cell
Magnetic moment = 0.000 Bohr magnetons per cell
ΔE_f (raw) = 2.7 kJ/mol of atoms
Energy above the lowest structure with this stoichiometry = 0 meV per atom

```
data_Al2Sb2Rh
_chemical_formula_sum 'Al4 Sb4 Rh2'
_cell_length_a 6.655
_cell_length_b 6.655
_cell_length_c 4.583
_cell_angle_alpha 90.00
_cell_angle_beta 90.00
_cell_angle_gamma 90.00
_symmetry_space_group_name_H-M 'P 1'
_symmetry_Int_Tables_number 1
loop_
_symmetry_equiv_pos_as_xyz
'x,y,z'
loop_
_atom_site_label
_atom_site_fract_x
_atom_site_fract_y
_atom_site_fract_z
_atom_site_occupancy
Sb1 0.176 0.676 0.500 1
Sb2 0.676 0.824 0.500 1
Sb3 0.824 0.324 0.500 1
Sb4 0.324 0.176 0.500 1
Rh1 0.000 0.000 0.000 1
Rh2 0.500 0.500 0.000 1
Al1 0.358 0.858 0.000 1
Al2 0.858 0.642 0.000 1
Al3 0.642 0.142 0.000 1
Al4 0.142 0.358 0.000 1
```


First-principles (PBE) data for a relaxed structure of AlSbRh3, as listed in Alexandria.

Values from the calculation:
SG = No. 221
Theoretical density = 8.4 g cm⁻³
DFT total energy = -28.4 eV per cell
Magnetic moment = 0.000 Bohr magnetons per cell
ΔE_f (raw) = 28.6 kJ/mol of atoms
Energy above the lowest structure with this stoichiometry = 0 meV per atom

```
data_AlSbRh3
_chemical_formula_sum 'Al1 Sb1 Rh3'
_cell_length_a 4.492
_cell_length_b 4.492
_cell_length_c 4.492
_cell_angle_alpha 90.00
_cell_angle_beta 90.00
_cell_angle_gamma 90.00
_symmetry_space_group_name_H-M 'P 1'
_symmetry_Int_Tables_number 1
loop_
_symmetry_equiv_pos_as_xyz
'x,y,z'
loop_
_atom_site_label
_atom_site_fract_x
_atom_site_fract_y
_atom_site_fract_z
_atom_site_occupancy
Sb1 0.500 0.500 0.500 1
Rh1 0.000 0.500 0.000 1
Rh2 0.000 0.000 0.500 1
Rh3 0.500 0.000 0.000 1
Al1 0.000 0.000 0.000 1
```


First-principles (PBE) data for a relaxed structure of ScAlSb2Rh, as listed in Alexandria.

Values from the calculation:
SG = No. 123
Theoretical density = 5.0 g cm⁻³
DFT total energy = -22.9 eV per cell
Magnetic moment = 0.000 Bohr magnetons per cell
ΔE_f (raw) = 54.0 kJ/mol of atoms

```
data_ScAlSb2Rh
_chemical_formula_sum 'Sc1 Al1 Sb2 Rh1'
_cell_length_a 5.438
_cell_length_b 4.712
_cell_length_c 5.438
_cell_angle_alpha 90.00
_cell_angle_beta 90.00
_cell_angle_gamma 90.00
_symmetry_space_group_name_H-M 'P 1'
_symmetry_Int_Tables_number 1
loop_
_symmetry_equiv_pos_as_xyz
'x,y,z'
loop_
_atom_site_label
_atom_site_fract_x
_atom_site_fract_y
_atom_site_fract_z
_atom_site_occupancy
Sc1 0.000 0.000 0.000 1
Sb1 0.000 0.000 0.500 1
Sb2 0.500 0.000 0.000 1
Rh1 0.000 0.500 0.000 1
Al1 0.500 0.500 0.500 1
```


First-principles (PBE) data for a relaxed structure of ScAlSbRh2, as listed in Alexandria.

Values from the calculation:
SG = No. 123
Theoretical density = 6.0 g cm⁻³
DFT total energy = -25.7 eV per cell
Magnetic moment = 0.000 Bohr magnetons per cell
ΔE_f (raw) = 61.3 kJ/mol of atoms

```
data_ScAlSbRh2
_chemical_formula_sum 'Sc1 Al1 Sb1 Rh2'
_cell_length_a 4.680
_cell_length_b 5.041
_cell_length_c 4.680
_cell_angle_alpha 90.00
_cell_angle_beta 90.00
_cell_angle_gamma 90.00
_symmetry_space_group_name_H-M 'P 1'
_symmetry_Int_Tables_number 1
loop_
_symmetry_equiv_pos_as_xyz
'x,y,z'
loop_
_atom_site_label
_atom_site_fract_x
_atom_site_fract_y
_atom_site_fract_z
_atom_site_occupancy
Sc1 0.000 0.000 0.000 1
Sb1 0.500 0.500 0.500 1
Rh1 0.000 0.000 0.500 1
Rh2 0.500 0.000 0.000 1
Al1 0.000 0.500 0.000 1
```


First-principles (PBE) data for a relaxed structure of Al2SbRhSe, as listed in Alexandria.

Values from the calculation:
SG = No. 123
Theoretical density = 4.1 g cm⁻³
DFT total energy = -16.6 eV per cell
Magnetic moment = 1.207 Bohr magnetons per cell
ΔE_f (raw) = 113.0 kJ/mol of atoms

```
data_Al2SbRhSe
_chemical_formula_sum 'Al2 Sb1 Rh1 Se1'
_cell_length_a 5.212
_cell_length_b 5.308
_cell_length_c 5.212
_cell_angle_alpha 90.00
_cell_angle_beta 90.00
_cell_angle_gamma 90.00
_symmetry_space_group_name_H-M 'P 1'
_symmetry_Int_Tables_number 1
loop_
_symmetry_equiv_pos_as_xyz
'x,y,z'
loop_
_atom_site_label
_atom_site_fract_x
_atom_site_fract_y
_atom_site_fract_z
_atom_site_occupancy
Sb1 0.000 0.000 0.000 1
Rh1 0.500 0.500 0.500 1
Al1 0.000 0.000 0.500 1
Al2 0.500 0.000 0.000 1
Se1 0.000 0.500 0.000 1
```